Density functional theory data (GGA-PBEsol) for a relaxed AgGeTe2N crystal.

a b c (Å): 5.6529 5.6529 3.4249
angles (deg): 90.00 90.00 90.00
Space group P4/mmm (No. 123)
Inequivalent atoms, fractional coordinates:
Ag  0.0000  0.0000  0.0000 [1 per cell]
Ge  0.5000  0.5000  0.5000 [1 per cell]
Te  0.0000  0.5000  0.5000 [2 per cell]
N  0.5000  0.5000  0.0000 [1 per cell]

## Properties
Calculated volume, Å³ per atom: 21.89
Total magnetization, μB per formula unit: 0.00
ΔE_f (raw), eV per atom: 0.62